Entry 1:
A plane-wave DFT calculation with PBE was carried out for a relaxed structure of DyScAl2.

Lattice parameters (Å, degrees): 3.497 3.497 6.942 90.00 90.00 90.00
Space group P4/mmm (No. 123)
Inequivalent atoms, fractional coordinates:
1 Dy 0.000 0.000 0.000
2 Sc 0.000 0.000 0.500
3 Al 0.500 0.500 0.273

Values from the calculation:
- Formation enthalpy at 0 K: -0.420 eV/atom
- Crystal system: tetragonal
- Energy above the lowest structure with this stoichiometry: 0.00 eV per formula unit

Entry 2:
A plane-wave DFT calculation with PBE was carried out for a relaxed structure of Dy4Sc9Al11.

Lattice parameters (Å, degrees): 14.734 21.837 3.142 90.00 90.00 90.00
Space group Cmmm (No. 65)
Inequivalent atoms, fractional coordinates:
1 Dy 0.180 0.082 0.000
2 Sc 0.000 0.000 0.000
3 Sc 0.103 0.401 0.000
4 Sc 0.110 0.221 0.000
5 Al 0.000 0.121 0.500
6 Al 0.000 0.309 0.500
7 Al 0.000 0.500 0.500
8 Al 0.187 0.500 0.500
9 Al 0.220 0.311 0.500

Values from the calculation:
- Formation enthalpy at 0 K: -0.363 eV/atom
- Crystal system: orthorhombic

Entry 3:
A plane-wave DFT calculation with PBE was carried out for a relaxed structure of Dy3ScAl4.

Lattice parameters (Å, degrees): 3.530 3.530 14.292 90.00 90.00 90.00
Space group P4/mmm (No. 123)
Inequivalent atoms, fractional coordinates:
1 Dy 0.000 0.000 0.000
2 Dy 0.000 0.000 0.259
3 Sc 0.000 0.000 0.500
4 Al 0.500 0.500 0.130
5 Al 0.500 0.500 0.391

Values from the calculation:
- Formation enthalpy at 0 K: -0.407 eV/atom
- Crystal system: tetragonal

Entry 4:
A plane-wave DFT calculation with PBE was carried out for a relaxed structure of DySc6Al3.

Lattice parameters (Å, degrees): 11.418 11.603 7.022 90.00 90.00 90.00
Space group Cmc2_1 (No. 36)
Inequivalent atoms, fractional coordinates:
1 Dy 0.000 0.220 0.000
2 Sc 0.000 0.205 0.469
3 Sc 0.000 0.479 0.589
4 Sc 0.206 0.031 0.504
5 Sc 0.208 0.301 0.691
6 Al 0.000 0.007 0.739
7 Al 0.144 0.379 0.308

Values from the calculation:
- Formation enthalpy at 0 K: -0.141 eV/atom
- Crystal system: orthorhombic

Entry 5:
A plane-wave DFT calculation with PBE was carried out for a relaxed structure of Dy3Sc7Al2.

Lattice parameters (Å, degrees): 6.1412 6.1412 29.3784 90.00 90.00 120.00
Space group R-3m (No. 166, hexagonal axes)
Inequivalent atoms, fractional coordinates:
1 Dy 0.0000 0.0000 0.0000
2 Dy 0.0000 0.0000 0.1441
3 Sc 0.0000 0.0000 0.5000
4 Sc 0.0003 0.5002 0.0771
5 Al 0.0000 0.0000 0.3333

Values from the calculation:
- Formation enthalpy at 0 K: 0.060 eV/atom
- Crystal system: trigonal

Entry 6:
A plane-wave DFT calculation with PBE was carried out for a relaxed structure of Dy2ScAlSe6.

Lattice parameters (Å, degrees): 6.9583 6.9583 18.3502 90.00 90.00 120.00
Space group R3 (No. 146, hexagonal axes)
Inequivalent atoms, fractional coordinates:
1 Dy 0.0000 0.0000 0.0000
2 Dy 0.0000 0.0000 0.4987
3 Sc 0.0000 0.0000 0.8005
4 Al 0.0000 0.0000 0.3003
5 Se 0.0037 0.3772 0.5611
6 Se 0.0190 0.6320 0.0564

Values from the calculation:
- Formation energy without anion corrections: -1.49 eV per atom
- Crystal system: trigonal

Entry 7:
A plane-wave DFT calculation with PBE was carried out for a relaxed structure of DyScAlTc.

Lattice parameters (Å, degrees): 6.828 6.828 6.828 90.00 90.00 90.00
Space group F-43m (No. 216)
Inequivalent atoms, fractional coordinates:
1 Dy 0.000 0.000 0.000
2 Sc 0.000 0.000 0.500
3 Al 0.250 0.250 0.250
4 Tc 0.250 0.250 0.750

Values from the calculation:
- Formation enthalpy at 0 K: -0.231 eV/atom
- Crystal system: cubic

Entry 8:
A plane-wave DFT calculation with PBE was carried out for a relaxed structure of DyThScAl.

Lattice parameters (Å, degrees): 7.464 7.464 7.464 90.00 90.00 90.00
Space group F-43m (No. 216)
Inequivalent atoms, fractional coordinates:
1 Dy 0.000 0.000 0.000
2 Th 0.000 0.000 0.500
3 Sc 0.250 0.250 0.250
4 Al 0.250 0.250 0.750

Values from the calculation:
- Formation enthalpy at 0 K: -0.072 eV/atom
- Crystal system: cubic

Entry 9:
A plane-wave DFT calculation with PBE was carried out for a relaxed structure of DyScAlTl.

Lattice parameters (Å, degrees): 7.226 7.226 7.226 90.00 90.00 90.00
Space group F-43m (No. 216)
Inequivalent atoms, fractional coordinates:
1 Dy 0.000 0.000 0.000
2 Sc 0.000 0.000 0.500
3 Al 0.250 0.250 0.250
4 Tl 0.250 0.250 0.750

Values from the calculation:
- Formation enthalpy at 0 K: -0.306 eV/atom
- Crystal system: cubic
- Energy above the lowest structure with this stoichiometry: 0.12 eV per formula unit

Entry 10:
A plane-wave DFT calculation with PBE was carried out for a relaxed structure of DyScAlTl.

Lattice parameters (Å, degrees): 3.298 3.298 8.584 90.00 90.00 90.00
Space group P4mm (No. 99)
Inequivalent atoms, fractional coordinates:
1 Dy 0.000 0.000 0.000
2 Sc 0.000 0.000 0.539
3 Al 0.500 0.500 0.757
4 Tl 0.500 0.500 0.281

Values from the calculation:
- Formation enthalpy at 0 K: -0.336 eV/atom
- Crystal system: tetragonal
- Energy above the lowest structure with this stoichiometry: 0.00 eV per formula unit

Entry 11:
A plane-wave DFT calculation with PBE was carried out for a relaxed structure of DyYScAl.

Lattice parameters (Å, degrees): 7.410 7.410 7.410 90.00 90.00 90.00
Space group F-43m (No. 216)
Inequivalent atoms, fractional coordinates:
1 Dy 0.000 0.000 0.000
2 Y 0.000 0.000 0.500
3 Sc 0.250 0.250 0.750
4 Al 0.250 0.250 0.250

Values from the calculation:
- Formation enthalpy at 0 K: -0.113 eV/atom
- Crystal system: cubic

Entry 12:
A plane-wave DFT calculation with PBE was carried out for a relaxed structure of DySc2Al2Zn2.

Lattice parameters (Å, degrees): 4.4290 4.4290 25.5647 90.00 90.00 120.00
Space group R-3m (No. 166, hexagonal axes)
Inequivalent atoms, fractional coordinates:
1 Dy 0.0000 0.0000 0.0000
2 Sc 0.0000 0.0000 0.1307
3 Al 0.0000 0.0000 0.2570
4 Zn 0.0000 0.0000 0.4067

Values from the calculation:
- Formation enthalpy at 0 K: -0.316 eV/atom
- Crystal system: trigonal